4
Lattice="-3.0813 -2.8810 -1.9228 0.7561 -4.5735 0.0525 -3.1834 -2.8328 3.7573" Properties=species:S:1:pos:R:3 comment="Pa2CrSn (PBE-GGA, optimized geometry)" dos_ef_per_ev_atom=1.73 e_above_lowest_polymorph_mev_per_atom=336 total_magnetization_mub_per_cell=0.00 pbc="T T T"
Pa -4.0068 -7.6975 1.1886
Pa -1.5017 -2.5898 0.6984
Sn 0.0000 0.0000 0.0000
Cr -2.7543 -5.1437 0.9435


3
Lattice="3.1329 0.0000 0.0000 -1.5665 2.7132 0.0000 0.0000 0.0000 6.2751" Properties=species:S:1:pos:R:3 comment="AlAgGe (PBE-GGA, optimized geometry)" energy_ev_per_atom=-3.656 dos_ef_per_ev_atom=0.29 total_magnetization_mub_per_cell=0.00 pbc="T T T"
Al 0.0000 1.8088 4.1730
Ge 0.0000 0.0000 6.2249
Ag 1.5665 0.9044 2.1523


5
Lattice="-2.6003 -1.6202 -4.0537 4.5963 -0.2070 -2.8656 0.7017 -4.8121 1.4732" Properties=species:S:1:pos:R:3 comment="ZrTi2SnO (PBE-GGA, optimized geometry)" dos_ef_per_ev_atom=1.22 e_above_lowest_polymorph_mev_per_atom=2519 e_form_raw_mev_per_atom=1334 total_magnetization_mub_per_cell=5.24 pbc="T T T"
Zr 2.2982 -0.1035 -1.4328
O 1.3489 -3.3197 -2.7230
Ti 0.3509 -2.4061 0.7366
Ti -1.3001 -0.8101 -2.0269
Sn 0.0000 0.0000 0.0000


10
Lattice="7.3782 0.0011 0.0008 3.6900 6.3892 0.0007 3.6900 2.1305 6.0235" Properties=species:S:1:pos:R:3 comment="K2LiGdCl6 (PBE-GGA, optimized geometry)" dos_ef_per_ev_atom=0.00 e_form_raw_mev_per_atom=-2060 total_magnetization_mub_per_cell=7.00 pbc="T T T"
Cl 9.1897 5.3057 1.5339
Cl 5.5681 5.3057 1.5339
Cl 5.5681 3.2148 4.4909
Cl 7.3789 6.3513 4.4910
Cl 7.3788 2.1693 1.5339
Cl 9.1897 3.2148 4.4910
Gd 14.7581 8.5207 6.0249
K 11.0692 6.3909 4.5190
K 3.6893 2.1300 1.5061
Li 7.3791 4.2603 3.0125


6
Lattice="0.0000 3.7378 3.7378 3.7378 0.0000 3.7378 3.7378 3.7378 0.0000" Properties=species:S:1:pos:R:3 comment="CaAl4Cr (PBE-GGA, optimized geometry)" energy_ev_per_atom=-4.360 dos_ef_per_ev_atom=0.42 total_magnetization_mub_per_cell=0.06 pbc="T T T"
Ca 5.6067 5.6067 5.6067
Al 2.7995 2.7995 2.7995
Al 4.6762 2.7995 4.6762
Al 4.6762 4.6762 2.7995
Al 2.7995 4.6762 4.6762
Cr 0.0000 0.0000 0.0000


5
Lattice="3.8490 0.0000 0.0000 0.0000 3.8490 0.0000 0.0000 0.0000 3.8490" Properties=species:S:1:pos:R:3 comment="SiHRu3 (PBE-GGA, optimized geometry)" dos_ef_per_ev_atom=1.58 e_above_lowest_polymorph_mev_per_atom=0 total_magnetization_mub_per_cell=0.00 pbc="T T T"
Si 1.9245 1.9245 1.9245
Ru 0.0000 1.9245 0.0000
Ru 0.0000 0.0000 1.9245
Ru 1.9245 0.0000 0.0000
H 0.0000 0.0000 0.0000


5
Lattice="3.8596 0.0000 0.0000 0.0000 3.8596 0.0000 1.9298 1.9298 4.2507" Properties=species:S:1:pos:R:3 comment="TiPd2N2 (PBE-GGA, optimized geometry)" dos_ef_per_ev_atom=0.88 e_above_lowest_polymorph_mev_per_atom=655 e_form_raw_mev_per_atom=547 total_magnetization_mub_per_cell=0.00 pbc="T T T"
N 3.8596 3.8596 3.6233
N 1.9298 1.9298 0.6274
Ti 0.0000 0.0000 0.0000
Pd 1.9298 3.8596 2.1254
Pd 3.8596 1.9298 2.1254


8
Lattice="-2.9042 -2.4682 1.0394 -0.1604 -1.3701 -3.7019 6.3789 -3.0911 2.9756" Properties=species:S:1:pos:R:3 comment="Li2Zn5Ni (PBE-GGA, optimized geometry)" energy_ev_per_atom=-2.155 dos_ef_per_ev_atom=0.27 total_magnetization_mub_per_cell=0.00 pbc="T T T"
Zn 1.0756 -1.8799 -1.4588
Zn 2.2387 -5.0496 1.7719
Zn -0.2964 -2.4289 0.9118
Zn 3.6106 -4.5005 -0.5987
Zn -1.5323 -1.9192 -1.3313
Li 2.3869 -2.4675 0.8098
Li 0.9274 -4.4619 -0.4967
Ni 0.0000 0.0000 0.0000


4
Lattice="-1.4079 2.8167 -1.9950 -3.1159 -0.4968 -1.9850 -6.8451 3.5477 6.3568" Properties=species:S:1:pos:R:3 comment="PrHo2Pd (PBE-GGA, optimized geometry)" dos_ef_per_ev_atom=1.09 e_above_lowest_polymorph_mev_per_atom=144 total_magnetization_mub_per_cell=0.00 pbc="T T T"
Ho -8.8470 4.5672 2.2437
Ho -2.5219 1.3004 0.1330
Pr -5.6845 2.9338 1.1884
Pd 0.0000 0.0000 0.0000


5
Lattice="-2.0592 4.2841 3.1071 -3.0024 -3.6913 3.0997 4.3581 -0.5187 3.6036" Properties=species:S:1:pos:R:3 comment="La3TeAs (PBE-GGA, optimized geometry)" dos_ef_per_ev_atom=1.64 e_above_lowest_polymorph_mev_per_atom=0 e_form_raw_mev_per_atom=-730 total_magnetization_mub_per_cell=0.00 pbc="T T T"
As 0.0000 0.0000 0.0000
Te -0.3517 0.0370 4.9052
La -1.5012 -1.8456 1.5499
La 2.1791 -0.2594 1.8018
La -1.0296 2.1420 1.5536


4
Lattice="-4.5393 -1.5427 -1.6623 -0.6956 -0.9879 -4.9283 -0.6374 -4.7853 -1.5631" Properties=species:S:1:pos:R:3 comment="ThScZnAg (PBE-GGA, optimized geometry)" energy_ev_per_atom=-4.623 dos_ef_per_ev_atom=0.95 total_magnetization_mub_per_cell=0.75 pbc="T T T"
Sc -2.9362 -3.6579 -4.0769
Zn -4.4042 -5.4869 -6.1154
Ag -1.4681 -1.8290 -2.0385
Th 0.0000 0.0000 0.0000


18
Lattice="5.7192 0.0000 -0.0001 -2.8596 4.9528 0.0000 -0.0001 0.0000 10.4640" Properties=species:S:1:pos:R:3 comment="AcZrNpO6 (PBE-GGA, optimized geometry)" dos_ef_per_ev_atom=0.89 e_form_raw_mev_per_atom=-3217 total_magnetization_mub_per_cell=4.00 pbc="T T T"
O -1.0342 1.8108 1.4935
O 1.8253 3.1420 6.7255
O -1.8084 3.1518 3.7385
O 1.0341 1.8108 3.7385
O 1.8083 3.1518 1.4936
O 3.8937 3.1420 8.9704
O 0.7742 4.9430 3.7384
O 3.6338 0.0098 8.9704
O 2.0852 0.0098 6.7256
O 1.0511 1.8010 8.9704
O 4.6679 1.8010 6.7255
O -0.7743 4.9430 1.4936
Np -0.0001 3.3019 7.8480
Np 2.8596 1.6509 2.6160
Ac 0.0000 0.0000 0.0000
Ac 0.0000 0.0000 5.2320
Zr 0.0000 3.3018 2.6160
Zr 2.8595 1.6510 7.8480